Li3HSe, optimized geometry, DFT PBE-GGA; energy above the lowest structure with this stoichiometry = 0 meV/atom; size of the total moment = 0.00 μB per formula unit; space-group type = No. 221; N(E_F) = 0.00 states/eV/atom
1.0
3.938 0.000 0.000
0.000 3.938 0.000
0.000 0.000 3.938
Li H Se
3 1 1
direct
0.000 0.000 0.500
0.000 0.500 0.000
0.500 0.000 0.000
0.000 0.000 0.000
0.500 0.500 0.500


CaY2Te, optimized geometry, DFT PBE-GGA; energy relative to the elements, uncorrected = -604 meV per atom; size of the total moment = 0.00 μB per formula unit; space-group type = No. 99; N(E_F) = 0.95 states/eV/atom
1.0
3.904 0.000 0.000
0.000 3.904 0.000
0.000 0.000 8.349
Ca Y Te
1 2 1
direct
0.000 0.000 0.000
0.000 0.000 0.438
0.500 0.500 0.692
0.500 0.500 0.241


TlIrC2N, optimized geometry, DFT PBE-GGA; energy relative to the elements, uncorrected = 2962 meV per atom; size of the total moment = 0.00 μB per formula unit; space-group type = No. 123; N(E_F) = 0.45 states/eV/atom
1.0
3.759 0.000 0.000
0.000 3.759 0.000
0.000 0.000 4.698
Tl Ir C N
1 1 2 1
direct
0.000 0.000 0.000
0.500 0.500 0.000
0.000 0.500 0.500
0.500 0.000 0.500
0.000 0.000 0.500


TaSb2Mo, optimized geometry, DFT PBE-GGA; energy relative to the elements, uncorrected = 145 meV per atom; size of the total moment = 0.00 μB per formula unit; space-group type = No. 35; N(E_F) = 0.81 states/eV/atom
1.0
3.637 0.000 0.000
0.000 4.884 0.000
0.000 0.000 10.173
Ta Sb Mo
2 4 2
direct
0.000 0.000 0.000
0.500 0.500 0.000
0.000 0.000 0.412
0.000 0.500 0.780
0.500 0.000 0.780
0.500 0.500 0.412
0.000 0.500 0.199
0.500 0.000 0.199


NpGeAs2, optimized geometry, DFT PBE-GGA; formation enthalpy at 0 K = -0.3195 eV per atom; energy above the lowest structure with this stoichiometry = 0 meV/atom; size of the total moment = 3.11 μB per formula unit; space-group type = No. 123; N(E_F) = 2.48 states/eV/atom
1.0
4.410 0.000 0.000
0.000 4.410 0.000
0.000 0.000 3.983
Np Ge As
1 1 2
direct
0.000 0.000 0.000
0.500 0.500 0.000
0.000 0.500 0.500
0.500 0.000 0.500


AcGa2O4, optimized geometry, DFT PBE-GGA; energy relative to the elements, uncorrected = -2124 meV per atom; energy above the lowest structure with this stoichiometry = 128 meV/atom; size of the total moment = 0.00 μB per formula unit; space-group type = No. 66; N(E_F) = 0.18 states/eV/atom
1.0
2.717 -4.427 0.000
2.717 4.427 0.000
0.000 0.000 8.846
Ac Ga O
2 4 8
direct
0.000 0.000 0.250
0.000 0.000 0.750
0.300 0.690 0.000
0.310 0.700 0.500
0.690 0.300 0.500
0.700 0.310 0.000
0.000 0.500 0.154
0.000 0.500 0.846
0.073 0.292 0.500
0.292 0.073 0.000
0.500 0.000 0.346
0.500 0.000 0.654
0.708 0.927 0.000
0.927 0.708 0.500


K2ZrPt, optimized geometry, DFT PBE-GGA; formation enthalpy at 0 K = -0.0607 eV per atom; energy above the lowest structure with this stoichiometry = 46 meV/atom; size of the total moment = 0.32 μB per formula unit; space-group type = No. 12; N(E_F) = 0.77 states/eV/atom
1.0
21.054 0.000 0.000
0.000 3.518 0.000
-0.800 0.000 4.044
K Zr Pt
4 2 2
direct
0.150 0.000 0.149
0.350 0.500 0.851
0.650 0.500 0.149
0.850 0.000 0.851
0.000 0.000 0.500
0.500 0.500 0.500
0.000 0.500 0.000
0.500 0.000 0.000


Mg2Ni3C, optimized geometry, DFT PBE-GGA; formation enthalpy at 0 K = 0.1128 eV per atom; size of the total moment = 0.00 μB per formula unit; space-group type = No. 166; N(E_F) = 0.38 states/eV/atom
1.0
2.437 1.407 3.336
-2.437 1.407 3.336
0.000 -2.814 3.336
Mg Ni C
2 3 1
direct
0.127 0.127 0.127
0.873 0.873 0.873
0.000 0.500 0.500
0.500 0.000 0.500
0.500 0.500 0.000
0.500 0.500 0.500


Number 5 is which compound?
NpGeAs2